Density functional theory data (GGA-PBE) for La2Sm2DyHo4 after structural relaxation.

Unit cell a=3.633 b=9.589 c=9.642 alpha=115.23 beta=90.00 gamma=100.92
Element x y z (fractional)
Ho  0.815  0.630  0.662
Ho  0.185  0.370  0.338
Ho  0.480  0.960  0.666
Ho  0.520  0.040  0.334
Dy  0.000  0.000  0.000
La  0.665  0.330  0.001
La  0.335  0.670  0.999
Sm  0.853  0.706  0.338
Sm  0.147  0.294  0.662

Computed properties:
Crystal system: monoclinic
Volume in Å³/f.u.: 297
Space group: No. 12
ΔH_f (0 K) in eV per atom: 0.00
Raw total energy in eV/atom: -4.686
ρ in g/cm³: 7.83

Density functional theory data (GGA-PBE) for LaSmDy2Ho after structural relaxation.

Unit cell a=7.225 b=8.458 c=7.165 alpha=126.18 beta=90.00 gamma=90.00
Element x y z (fractional)
Ho  0.750  0.280  0.560
Ho  0.250  0.720  0.440
La  0.750  0.733  0.466
La  0.250  0.267  0.534
Dy  0.000  0.312  0.000
Dy  0.500  0.688  0.000
Dy  0.000  0.688  0.000
Dy  0.500  0.312  0.000
Sm  0.250  0.002  0.005
Sm  0.750  0.998  0.995

Computed properties:
Crystal system: orthorhombic
Volume in Å³/f.u.: 177
Space group: No. 63
ΔH_f (0 K) in eV per atom: 0.36
Raw total energy in eV/atom: -4.323
ρ in g/cm³: 7.32

Q: Which value of ΔH_f (0 K) does entry 1 give?
A: 0.00 eV per atom

Please write out number 2 again, unchanged.
Density functional theory data (GGA-PBE) for LaSmDy2Ho after structural relaxation.

Unit cell a=7.225 b=8.458 c=7.165 alpha=126.18 beta=90.00 gamma=90.00
Element x y z (fractional)
Ho  0.750  0.280  0.560
Ho  0.250  0.720  0.440
La  0.750  0.733  0.466
La  0.250  0.267  0.534
Dy  0.000  0.312  0.000
Dy  0.500  0.688  0.000
Dy  0.000  0.688  0.000
Dy  0.500  0.312  0.000
Sm  0.250  0.002  0.005
Sm  0.750  0.998  0.995

Computed properties:
Crystal system: orthorhombic
Volume in Å³/f.u.: 177
Space group: No. 63
ΔH_f (0 K) in eV per atom: 0.36
Raw total energy in eV/atom: -4.323
ρ in g/cm³: 7.32

Q: Which of these has the highest raw total energy?
A: LaSmDy2Ho

Q: Which value of ρ does entry 1 give?
A: 7.83 g/cm³